6
Lattice="1.603 -6.911 0.000 1.603 6.911 0.000 0.000 0.000 4.507" Properties=species:S:1:pos:R:3 comment="Mg2Rh | Alexandria via LeMat-Bulk | GGA-PBE | relaxed" ef_kj_per_mol_atoms=-39.66 e_tot_ev_per_cell=-23.55 sg="Cmcm (63)" n_ef_per_ev_atom=0.33 magmom_total_mub_per_atom=0.00 pbc="T T T"
Mg 1.603 6.048 3.380
Mg 1.603 3.339 1.127
Mg 1.603 -3.339 3.380
Mg 1.603 -6.048 1.127
Rh 1.603 1.422 3.380
Rh 1.603 -1.422 1.127